(1)
DFT (GGA-PBE) results for crystalline Li2TlCd2SnPd2 at its relaxed geometry.

Values from the calculation:
As for the space group: P-4m2, No. 115.

Unit cell a=4.675 b=4.675 c=6.597 alpha=90.00 beta=90.00 gamma=90.00
Positions (direct):
Li 0.000 0.500 0.249
Li 0.500 0.000 0.751
Tl 0.500 0.500 0.000
Cd 0.000 0.000 0.000
Cd 0.500 0.500 0.500
Sn 0.000 0.000 0.500
Pd 0.000 0.500 0.737
Pd 0.500 0.000 0.263

---

(2)
DFT (GGA-PBE) results for crystalline FeHgGeTe3 at its relaxed geometry.

Values from the calculation:
As for the total magnetic moment: 2.68 μB per formula unit. As for the space group: Cmcm, No. 63.

Unit cell a=6.669 b=6.669 c=13.074 alpha=90.00 beta=90.00 gamma=146.03
Positions (direct):
Fe 0.062 0.938 0.750
Fe 0.938 0.062 0.250
Hg 0.500 0.500 0.000
Hg 0.500 0.500 0.500
Ge 0.298 0.702 0.250
Ge 0.702 0.298 0.750
Te 0.159 0.841 0.579
Te 0.159 0.841 0.921
Te 0.428 0.572 0.750
Te 0.572 0.428 0.250
Te 0.841 0.159 0.079
Te 0.841 0.159 0.421

---

(3)
DFT (GGA-PBE) results for crystalline MgInNiPd at its relaxed geometry.

Values from the calculation:
As for the total magnetic moment: 0.00 μB per formula unit. As for the space group: F-43m, No. 216.

Unit cell a=6.348 b=6.348 c=6.348 alpha=90.00 beta=90.00 gamma=90.00
Positions (direct):
Mg 0.000 0.000 0.000
Mg 0.000 0.500 0.500
Mg 0.500 0.000 0.500
Mg 0.500 0.500 0.000
In 0.000 0.000 0.500
In 0.000 0.500 0.000
In 0.500 0.000 0.000
In 0.500 0.500 0.500
Ni 0.250 0.250 0.750
Ni 0.250 0.750 0.250
Ni 0.750 0.250 0.250
Ni 0.750 0.750 0.750
Pd 0.250 0.250 0.250
Pd 0.250 0.750 0.750
Pd 0.750 0.250 0.750
Pd 0.750 0.750 0.250

---

(4)
DFT (GGA-PBE) results for crystalline SrDyMo at its relaxed geometry.

Values from the calculation:
As for the total magnetic moment: 2.77 μB per formula unit. As for the space group: F-43m, No. 216.

Unit cell a=7.323 b=7.323 c=7.323 alpha=90.00 beta=90.00 gamma=90.00
Positions (direct):
Sr 0.000 0.000 0.000
Sr 0.000 0.500 0.500
Sr 0.500 0.000 0.500
Sr 0.500 0.500 0.000
Dy 0.250 0.250 0.750
Dy 0.250 0.750 0.250
Dy 0.750 0.250 0.250
Dy 0.750 0.750 0.750
Mo 0.000 0.000 0.500
Mo 0.000 0.500 0.000
Mo 0.500 0.000 0.000
Mo 0.500 0.500 0.500

---

(5)
DFT (GGA-PBE) results for crystalline TmSnB4 at its relaxed geometry.

Values from the calculation:
As for the total magnetic moment: 0.00 μB per formula unit. As for the space group: P6/mmm, No. 191.

Unit cell a=3.212 b=3.212 c=8.094 alpha=90.00 beta=90.00 gamma=120.00
Positions (direct):
Tm 0.000 0.000 0.000
Sn 0.000 0.000 0.500
B 0.333 0.667 0.229
B 0.333 0.667 0.771
B 0.667 0.333 0.229
B 0.667 0.333 0.771

---

(6)
DFT (GGA-PBE) results for crystalline GeW4C2S at its relaxed geometry.

Values from the calculation:
As for the total magnetic moment: 0.00 μB per formula unit. As for the space group: P-6m2, No. 187.

Unit cell a=3.173 b=3.173 c=12.257 alpha=90.00 beta=90.00 gamma=120.00
Positions (direct):
Ge 0.000 0.000 0.000
W 0.000 0.000 0.343
W 0.000 0.000 0.657
W 0.333 0.667 0.162
W 0.333 0.667 0.838
C 0.667 0.333 0.254
C 0.667 0.333 0.746
S 0.333 0.667 0.500

---

| no. | final energy (eV per formula unit) |
| --- | --- |
| 1 | -25.494 |
| 2 | -22.140 |
| 3 | -16.728 |
| 4 | -12.752 |
| 5 | -35.252 |
| 6 | -77.590 |